# YHg2

A relaxed YHg2 crystal (GGA-PBE, Alexandria via LeMat-Bulk).

Theoretical density: 8.6 g/cm³
Energy: -2.550 eV per atom
DOS(E_F): 2.92 states/eV per cell

Cell lengths 5.1673, 5.1673, 3.5507 Å; angles 90.00, 90.00, 90.00 degrees
Space group P4/mmm (No. 123)
One atom of each set of equivalent atoms:
Y 0.0000 0.0000 0.0000 [1 per cell]
Hg 0.0000 0.5000 0.5000 [2 per cell]